Dy2Ag3Pb PBE-GGA optimized geometry; calculated total energy = -3.8633 eV per atom; polymorph energy (0 for the lowest one) = 0.0000 eV/atom; energy relative to the elements = -1.71 eV/f.u.
1.0
9.710 0.000 0.000
-4.855 8.409 0.000
0.000 0.000 6.931
Dy Ag Pb
8 12 4
Cartesian
0.000 0.000 1.733 Dy
0.000 0.000 5.198 Dy
-2.422 4.207 1.733 Dy
4.855 0.006 5.198 Dy
2.422 4.207 1.733 Dy
2.433 4.202 5.198 Dy
0.000 8.403 1.733 Dy
7.277 4.202 5.198 Dy
0.000 2.748 3.475 Ag
0.000 2.748 6.921 Ag
-2.475 7.035 3.475 Ag
-2.475 7.035 6.921 Ag
2.380 1.374 0.009 Ag
2.380 1.374 3.456 Ag
2.475 7.035 3.475 Ag
2.475 7.035 6.921 Ag
7.330 1.374 0.009 Ag
7.330 1.374 3.456 Ag
4.855 5.661 0.009 Ag
4.855 5.661 3.456 Ag
0.000 5.606 3.470 Pb
0.000 5.606 6.926 Pb
4.855 2.803 0.005 Pb
4.855 2.803 3.461 Pb